# K2InCl, relaxed, DFT PBE-GGA
data_K2InCl
_chemical_formula_sum 'K2 In1 Cl1'
_cell_length_a 6.128
_cell_length_b 6.128
_cell_length_c 3.853
_cell_angle_alpha 89.88
_cell_angle_beta 89.88
_cell_angle_gamma 101.62
_symmetry_space_group_name_H-M 'P 1'
_symmetry_Int_Tables_number 1
loop_
_symmetry_equiv_pos_as_xyz
'x,y,z'
loop_
_atom_site_label
_atom_site_type_symbol
_atom_site_fract_x
_atom_site_fract_y
_atom_site_fract_z
_atom_site_occupancy
K1 K 0.000 0.000 0.000 1
K2 K 0.500 0.500 0.000 1
Cl1 Cl 0.500 0.000 0.500 1
In1 In 0.000 0.500 0.500 1
# Magnetic moment: 0.00 μB/cell
# Mass density: 2676 kg/m³
# DOS(E_F): 0.3559 states/eV/atom
# Distance to the lowest polymorph of the same formula: 0.216 eV per atom